Entry 1:
First-principles (GGA-PBE) data for a relaxed structure of SrC3O, as listed in Alexandria.

Properties
The calculation puts the formation energy (no corrections) at 2.5031 eV/atom. For the density of states at the Fermi level, the calculation gives 2.33 states/eV/cell. The total energy comes out at -21.8 eV per formula unit. The calculation puts the excess energy over the best structure of this formula in the dataset at 0.000 eV/atom.

a = 3.9619 Å, b = 3.9619 Å, c = 3.9619 Å
α = 90.00°, β = 90.00°, γ = 90.00°
Space group Pm-3m (No. 221)
Inequivalent atoms, fractional coordinates:
1 Sr 0.0000 0.0000 0.0000
2 C 0.0000 0.5000 0.5000
3 O 0.5000 0.5000 0.5000


Entry 2:
First-principles (GGA-PBE) data for a relaxed structure of Ca3CuSb2Pd9, as listed in Alexandria.

Properties
The calculation puts the formation energy (no corrections) at -0.3159 eV/atom. For the density of states at the Fermi level, the calculation gives 10.09 states/eV/cell. The total energy comes out at -69.8 eV per formula unit.

a = 6.7878 Å, b = 6.7878 Å, c = 8.9087 Å
α = 90.00°, β = 90.00°, γ = 120.00°
Space group P-3m1 (No. 164)
Inequivalent atoms, fractional coordinates:
1 Ca 0.0000 0.0000 0.0000
2 Ca 0.3333 0.6667 0.7213
3 Cu 0.0000 0.0000 0.5000
4 Sb 0.3333 0.6667 0.1967
5 Pd 0.0000 0.5000 0.0000
6 Pd 0.1315 0.2631 0.2762


Entry 3:
First-principles (GGA-PBE) data for a relaxed structure of TmPaPdO6, as listed in Alexandria.

Properties
The calculation puts the formation energy (no corrections) at -2.4709 eV/atom. The total energy comes out at -71.1 eV per formula unit.

a = 5.3479 Å, b = 5.3479 Å, c = 4.8894 Å
α = 90.00°, β = 90.00°, γ = 120.00°
Space group P312 (No. 149)
Inequivalent atoms, fractional coordinates:
1 Tm 0.0000 0.0000 0.0000
2 Pa 0.3333 0.6667 0.5000
3 Pd 0.6667 0.3333 0.0000
4 O 0.3576 0.0124 0.7604


Entry 4:
First-principles (GGA-PBE) data for a relaxed structure of GdPuGaSn, as listed in Alexandria.

Properties
For the formation energy, the calculation gives -424 meV/atom. For the density of states at the Fermi level, the calculation gives 38.72 states/eV/cell. The total energy comes out at -37.1 eV per formula unit.

a = 7.4193 Å, b = 7.4193 Å, c = 7.4193 Å
α = 90.00°, β = 90.00°, γ = 90.00°
Space group F-43m (No. 216)
Inequivalent atoms, fractional coordinates:
1 Gd 0.0000 0.0000 0.0000
2 Pu 0.0000 0.0000 0.5000
3 Ga 0.2500 0.2500 0.2500
4 Sn 0.2500 0.2500 0.7500


Entry 5:
First-principles (GGA-PBE) data for a relaxed structure of Mn3ZnCl, as listed in Alexandria.

Properties
The calculation puts the formation energy (no corrections) at 0.6872 eV/atom. For the density of states at the Fermi level, the calculation gives 5.49 states/eV/cell. The total energy comes out at -27.2 eV per formula unit. The calculation puts the excess energy over the best structure of this formula in the dataset at 0.000 eV/atom.

a = 4.2391 Å, b = 4.2391 Å, c = 4.2391 Å
α = 90.00°, β = 90.00°, γ = 90.00°
Space group Pm-3m (No. 221)
Inequivalent atoms, fractional coordinates:
1 Mn 0.0000 0.0000 0.5000
2 Zn 0.5000 0.5000 0.5000
3 Cl 0.0000 0.0000 0.0000


Entry 6:
First-principles (GGA-PBE) data for a relaxed structure of Li2AgS2, as listed in Alexandria.

Properties
The calculation puts the formation energy (no corrections) at -0.5563 eV/atom. For the density of states at the Fermi level, the calculation gives 1.18 states/eV/cell. The total energy comes out at -17.7 eV per formula unit. The calculation puts the excess energy over the best structure of this formula in the dataset at 0.093 eV/atom.

a = 7.3277 Å, b = 7.3277 Å, c = 2.8844 Å
α = 90.00°, β = 90.00°, γ = 90.00°
Space group P4/mbm (No. 127)
Inequivalent atoms, fractional coordinates:
1 Li 0.1263 0.3737 0.0000
2 Ag 0.0000 0.0000 0.0000
3 S 0.1756 0.6756 0.5000


Please write out number 4 again, unchanged.
First-principles (GGA-PBE) data for a relaxed structure of GdPuGaSn, as listed in Alexandria.

Properties
For the formation energy, the calculation gives -424 meV/atom. For the density of states at the Fermi level, the calculation gives 38.72 states/eV/cell. The total energy comes out at -37.1 eV per formula unit.

a = 7.4193 Å, b = 7.4193 Å, c = 7.4193 Å
α = 90.00°, β = 90.00°, γ = 90.00°
Space group F-43m (No. 216)
Inequivalent atoms, fractional coordinates:
1 Gd 0.0000 0.0000 0.0000
2 Pu 0.0000 0.0000 0.5000
3 Ga 0.2500 0.2500 0.2500
4 Sn 0.2500 0.2500 0.7500